P.
{"formula": "NdErMgAg", "functional": "GGA-PBE", "state": "optimized geometry", "lattice_angstrom": [[0.0000, 3.7520, 3.7520], [3.7520, 0.0000, 3.7520], [3.7520, 3.7520, 0.0000]], "species": ["Nd", "Er", "Mg", "Ag"], "fractional_positions": [[0.0000, 0.0000, 0.0000], [0.5000, 0.5000, 0.5000], [0.7500, 0.7500, 0.7500], [0.2500, 0.2500, 0.2500]], "sg": "No. 216"}

Q.
{"formula": "NdErMgAg", "functional": "GGA-PBE", "state": "optimized geometry", "lattice_angstrom": [[3.7614, 0.0000, 0.0000], [0.0000, 3.7614, 0.0000], [0.0000, 0.0000, 7.4218]], "species": ["Nd", "Er", "Mg", "Ag"], "fractional_positions": [[0.0000, 0.0000, 0.0000], [0.0000, 0.0000, 0.4829], [0.5000, 0.5000, 0.7306], [0.5000, 0.5000, 0.2670]], "sg": "No. 99"}

Last place for stability: P